[1]
Density functional theory data (GGA-PBEsol) for RbV3Cd4O12 after structural relaxation.

E_form (uncorrected) = -37.32 eV/f.u.
crystal system = monoclinic
VASP energy = -135.0 eV per formula unit
Fermi-level density of states = 0.0 states/eV/f.u.
symmetry = Cc

abc: 9.3954 9.3954 7.0711
angles: 107.21 107.21 91.97
Positions (direct):
1 Rb 0.0298 0.9702 0.5000
2 Rb 0.9702 0.0298 0.0000
3 V 0.1236 0.3499 0.8912
4 V 0.2978 0.7018 0.4998
5 V 0.3499 0.1236 0.3912
6 V 0.6498 0.8683 0.1107
7 V 0.7018 0.2978 0.9998
8 V 0.8683 0.6498 0.6107
9 Cd 0.0633 0.3817 0.4023
10 Cd 0.2609 0.7339 0.9935
11 Cd 0.3817 0.0633 0.9023
12 Cd 0.5134 0.5265 0.2102
13 Cd 0.5265 0.5134 0.7102
14 Cd 0.6144 0.9391 0.6032
15 Cd 0.7339 0.2609 0.4935
16 Cd 0.9391 0.6144 0.1032
17 O 0.0022 0.6715 0.8484
18 O 0.0327 0.3914 0.0738
19 O 0.1792 0.1798 0.8809
20 O 0.1789 0.7286 0.2812
21 O 0.1798 0.1792 0.3809
22 O 0.2701 0.8184 0.7205
23 O 0.2778 0.4864 0.9649
24 O 0.2848 0.5245 0.5221
25 O 0.3305 0.9889 0.1522
26 O 0.3914 0.0327 0.5738
27 O 0.4779 0.7126 0.4790
28 O 0.4864 0.2778 0.4649
29 O 0.5194 0.7037 0.0378
30 O 0.5245 0.2848 0.0221
31 O 0.6012 0.9558 0.9265
32 O 0.6715 0.0022 0.3484
33 O 0.7037 0.5194 0.5378
34 O 0.7126 0.4779 0.9790
35 O 0.7286 0.1789 0.7812
36 O 0.8169 0.8204 0.6171
37 O 0.8184 0.2701 0.2205
38 O 0.8204 0.8169 0.1171
39 O 0.9558 0.6012 0.4265
40 O 0.9889 0.3305 0.6522

[2]
Density functional theory data (GGA-PBEsol) for Cd2Re2O7 after structural relaxation.

E_form (uncorrected) = -14.46 eV/f.u.
crystal system = cubic
VASP energy = -80.3 eV per formula unit
Fermi-level density of states = 7.3 states/eV/f.u.
symmetry = Fd-3m

abc: 7.2550 7.2550 7.2550
angles: 60.00 60.00 60.00
Positions (direct):
1 Cd 0.0000 0.0000 0.0000
2 Cd 0.0000 0.0000 0.5000
3 Cd 0.0000 0.5000 0.0000
4 Cd 0.5000 0.0000 0.0000
5 Re 0.0000 0.5000 0.5000
6 Re 0.5000 0.0000 0.5000
7 Re 0.5000 0.5000 0.0000
8 Re 0.5000 0.5000 0.5000
9 O 0.1250 0.1250 0.1250
10 O 0.1848 0.1848 0.5652
11 O 0.1848 0.5652 0.1848
12 O 0.1848 0.5652 0.5652
13 O 0.4348 0.4348 0.8152
14 O 0.4348 0.8152 0.4348
15 O 0.4348 0.8152 0.8152
16 O 0.5652 0.1848 0.1848
17 O 0.5652 0.1848 0.5652
18 O 0.5652 0.5652 0.1848
19 O 0.8152 0.4348 0.4348
20 O 0.8152 0.4348 0.8152
21 O 0.8152 0.8152 0.4348
22 O 0.8750 0.8750 0.8750

[3]
Density functional theory data (GGA-PBEsol) for Cd3RhO after structural relaxation.

E_form (uncorrected) = 0.07 eV/f.u.
crystal system = cubic
VASP energy = -16.9 eV per formula unit
Fermi-level density of states = 1.9 states/eV/f.u.
symmetry = Pm-3m

abc: 4.4153 4.4153 4.4153
angles: 90.00 90.00 90.00
Positions (direct):
1 Cd 0.0000 0.0000 0.5000
2 Cd 0.0000 0.5000 0.0000
3 Cd 0.5000 0.0000 0.0000
4 Rh 0.5000 0.5000 0.5000
5 O 0.0000 0.0000 0.0000

Copy entry 1 word for word.
Density functional theory data (GGA-PBEsol) for RbV3Cd4O12 after structural relaxation.

E_form (uncorrected) = -37.32 eV/f.u.
crystal system = monoclinic
VASP energy = -135.0 eV per formula unit
Fermi-level density of states = 0.0 states/eV/f.u.
symmetry = Cc

abc: 9.3954 9.3954 7.0711
angles: 107.21 107.21 91.97
Positions (direct):
1 Rb 0.0298 0.9702 0.5000
2 Rb 0.9702 0.0298 0.0000
3 V 0.1236 0.3499 0.8912
4 V 0.2978 0.7018 0.4998
5 V 0.3499 0.1236 0.3912
6 V 0.6498 0.8683 0.1107
7 V 0.7018 0.2978 0.9998
8 V 0.8683 0.6498 0.6107
9 Cd 0.0633 0.3817 0.4023
10 Cd 0.2609 0.7339 0.9935
11 Cd 0.3817 0.0633 0.9023
12 Cd 0.5134 0.5265 0.2102
13 Cd 0.5265 0.5134 0.7102
14 Cd 0.6144 0.9391 0.6032
15 Cd 0.7339 0.2609 0.4935
16 Cd 0.9391 0.6144 0.1032
17 O 0.0022 0.6715 0.8484
18 O 0.0327 0.3914 0.0738
19 O 0.1792 0.1798 0.8809
20 O 0.1789 0.7286 0.2812
21 O 0.1798 0.1792 0.3809
22 O 0.2701 0.8184 0.7205
23 O 0.2778 0.4864 0.9649
24 O 0.2848 0.5245 0.5221
25 O 0.3305 0.9889 0.1522
26 O 0.3914 0.0327 0.5738
27 O 0.4779 0.7126 0.4790
28 O 0.4864 0.2778 0.4649
29 O 0.5194 0.7037 0.0378
30 O 0.5245 0.2848 0.0221
31 O 0.6012 0.9558 0.9265
32 O 0.6715 0.0022 0.3484
33 O 0.7037 0.5194 0.5378
34 O 0.7126 0.4779 0.9790
35 O 0.7286 0.1789 0.7812
36 O 0.8169 0.8204 0.6171
37 O 0.8184 0.2701 0.2205
38 O 0.8204 0.8169 0.1171
39 O 0.9558 0.6012 0.4265
40 O 0.9889 0.3305 0.6522

What is the formula in the first record?
RbV3Cd4O12

Among the records above, which one has the highest Fermi-level density of states?
Cd2Re2O7

Which of these has the lowest VASP energy?
RbV3Cd4O12